Record 1
Compound: LiZnCu
Source: Alexandria
Functional: PBE
Structure: optimized geometry

The structure in POSCAR format:
```
LiZnCu
1.0
0.0000 2.9186 2.9186
2.9186 0.0000 2.9186
2.9186 2.9186 0.0000
Li Zn Cu
1 1 1
direct
0.0000 0.0000 0.0000
0.5000 0.5000 0.5000
0.7500 0.7500 0.7500
```

Output
Energy above the most stable polymorph in this dataset (meV/atom): 238.2
Calculated density (Mg/m³): 4.54

***

Record 2
Compound: Li6ZnCu12
Source: Alexandria
Functional: PBE
Structure: optimized geometry

The structure in POSCAR format:
```
Li6ZnCu12
1.0
4.9448 2.8549 2.9663
-4.9448 2.8549 2.9663
0.0000 -5.7098 2.9663
Li Zn Cu
6 1 12
direct
0.0703 0.3368 0.3368
0.3368 0.0703 0.3368
0.3368 0.3368 0.0703
0.6632 0.6632 0.9297
0.6632 0.9297 0.6632
0.9297 0.6632 0.6632
0.5000 0.5000 0.5000
0.1012 0.1012 0.6777
0.1012 0.6777 0.1012
0.2389 0.5000 0.7611
0.2389 0.7611 0.5000
0.3223 0.8988 0.8988
0.5000 0.2389 0.7611
0.5000 0.7611 0.2389
0.6777 0.1012 0.1012
0.7611 0.2389 0.5000
0.7611 0.5000 0.2389
0.8988 0.3223 0.8988
0.8988 0.8988 0.3223
```

Output
Calculated density (Mg/m³): 5.75
Final energy (eV per cell): -61.892

***

Record 3
Compound: LiZn5Cu4
Source: Alexandria
Functional: PBE
Structure: optimized geometry

The structure in POSCAR format:
```
LiZn5Cu4
1.0
-3.8182 3.8182 2.4786
3.8182 -3.8182 2.4786
3.8182 3.8182 -2.4786
Li Zn Cu
1 5 4
direct
0.0000 0.0000 0.0000
0.1667 0.5678 0.2763
0.2915 0.8903 0.7237
0.4730 0.4730 0.0000
0.5678 0.2915 0.4012
0.8903 0.1667 0.5988
0.4859 0.5976 0.6258
0.5976 0.9719 0.1117
0.8601 0.4859 0.8883
0.9719 0.8601 0.3742
```

Output
Energy above the most stable polymorph in this dataset (meV/atom): 219.2
Calculated density (Mg/m³): 6.76

***

Record 4
Compound: Li5Zn6Cu
Source: Alexandria
Functional: PBE
Structure: optimized geometry

The structure in POSCAR format:
```
Li5Zn6Cu
1.0
3.9596 0.0000 0.0000
1.9461 6.8575 0.0000
1.9651 2.4582 6.4147
Li Zn Cu
5 6 1
direct
0.0000 0.0000 0.0000
0.3299 0.6695 0.6701
0.3395 0.1612 0.1605
0.6605 0.8388 0.8395
0.6701 0.3305 0.3299
0.1628 0.0932 0.5780
0.1647 0.5786 0.0936
0.5001 0.2658 0.7333
0.4999 0.7342 0.2667
0.8353 0.4214 0.9064
0.8372 0.9068 0.4220
0.0000 0.5000 0.5000
```

Output
Calculated density (Mg/m³): 4.68
Final energy (eV per cell): -23.101

***

Record 5
Compound: Li2ZnCu2
Source: Alexandria
Functional: PBE
Structure: optimized geometry

The structure in POSCAR format:
```
Li2ZnCu2
1.0
4.5452 -2.1574 0.0000
4.5452 2.1574 0.0000
-2.2893 0.0000 6.6820
Li Zn Cu
4 2 4
direct
0.0145 0.5938 0.8498
0.4062 0.9855 0.6502
0.5938 0.0145 0.3498
0.9855 0.4062 0.1502
0.2189 0.7811 0.2500
0.7811 0.2189 0.7500
0.1880 0.6173 0.5523
0.3827 0.8120 0.9477
0.6173 0.1880 0.0523
0.8120 0.3827 0.4477
```

Output
Energy above the most stable polymorph in this dataset (meV/atom): 3.4
Calculated density (Mg/m³): 5.23

***

Record 6
Compound: Li2ZnCu
Source: Alexandria
Functional: PBE
Structure: optimized geometry

The structure in POSCAR format:
```
Li2ZnCu
1.0
1.3464 0.7774 8.9243
-1.3464 0.7774 8.9243
0.0000 -1.5547 8.9243
Li Zn Cu
2 1 1
direct
0.2456 0.2456 0.2456
0.7544 0.7544 0.7544
0.0000 0.0000 0.0000
0.5000 0.5000 0.5000
```

Output
Calculated density (Mg/m³): 4.23
Final energy (eV per cell): -9.416

***

Record 7
Compound: LiZn8Cu5
Source: Alexandria
Functional: PBE
Structure: optimized geometry

The structure in POSCAR format:
```
LiZn8Cu5
1.0
-3.9379 3.9379 3.3231
3.9379 -3.9379 3.3231
3.9379 3.9379 -3.3231
Li Zn Cu
1 8 5
direct
0.0000 0.0000 0.0000
0.0428 0.7382 0.6209
0.0495 0.4326 0.9282
0.1174 0.4220 0.3791
0.2618 0.8826 0.3046
0.5044 0.1213 0.0718
0.5674 0.4956 0.6169
0.5780 0.9572 0.6954
0.8787 0.9505 0.3831
0.2737 0.2279 0.7776
0.4503 0.4961 0.2224
0.5039 0.7263 0.9542
0.7500 0.2500 0.5000
0.7721 0.5497 0.0458
```

Output
Energy above the most stable polymorph in this dataset (meV/atom): 5.2
Calculated density (Mg/m³): 6.83

***

Record 8
Compound: Li3Zn2Cu4
Source: Alexandria
Functional: PBE
Structure: optimized geometry

The structure in POSCAR format:
```
Li3Zn2Cu4
1.0
3.5085 -2.1620 0.0000
3.5085 2.1620 0.0000
-0.8518 0.0000 7.7699
Li Zn Cu
3 2 4
direct
0.0000 0.0000 0.0000
0.3317 0.3317 0.2211
0.6683 0.6683 0.7789
0.3325 0.3325 0.5676
0.6675 0.6675 0.4324
0.0012 0.0012 0.6645
0.3351 0.3351 0.8910
0.6649 0.6649 0.1090
0.9988 0.9988 0.3355
```

Output
Energy above the most stable polymorph in this dataset (meV/atom): 64.0
Calculated density (Mg/m³): 5.72

***

Record 9
Compound: Li6ZnCu
Source: Alexandria
Functional: PBE
Structure: optimized geometry

The structure in POSCAR format:
```
Li6ZnCu
1.0
5.0333 0.0000 0.0000
0.0268 5.0348 0.0000
0.1257 0.1685 5.0643
Li Zn Cu
6 1 1
direct
0.0004 0.2464 0.0009
0.9996 0.7536 0.9991
0.2468 0.5005 0.5027
0.4991 0.9970 0.2535
0.5009 0.0030 0.7465
0.7532 0.4995 0.4973
0.5000 0.5000 0.0000
0.0000 0.0000 0.5000
```

Output
Energy above the most stable polymorph in this dataset (meV/atom): 15.5
Calculated density (Mg/m³): 2.21

***

Record 10
Compound: Li2Zn3Cu2
Source: Alexandria
Functional: PBE
Structure: optimized geometry

The structure in POSCAR format:
```
Li2Zn3Cu2
1.0
4.1786 -1.9467 0.0000
4.1786 1.9467 0.0000
-0.9098 0.0000 5.8144
Li Zn Cu
2 3 2
direct
0.0736 0.0736 0.2083
0.9264 0.9264 0.7917
0.2139 0.2139 0.6609
0.5000 0.5000 0.5000
0.7861 0.7861 0.3391
0.3571 0.3571 0.0721
0.6429 0.6429 0.9279
```

Output
Energy above the most stable polymorph in this dataset (meV/atom): 0.0
Calculated density (Mg/m³): 5.92

***

Record 11
Compound: Li2ZnCu8
Source: Alexandria
Functional: PBE
Structure: optimized geometry

The structure in POSCAR format:
```
Li2ZnCu8
1.0
-1.9901 3.1516 5.4999
1.9901 -3.1516 5.4999
1.9901 3.1516 -5.4999
Li Zn Cu
2 1 8
direct
0.2051 0.2051 0.0000
0.7949 0.7949 0.0000
0.5000 0.5000 0.0000
0.0573 0.3532 0.7041
0.2000 0.0000 0.2000
0.3466 0.8466 0.5000
0.3509 0.6468 0.7041
0.6491 0.3532 0.2959
0.6534 0.1534 0.5000
0.8000 0.0000 0.8000
0.9427 0.6468 0.2959
```

Output
Energy above the most stable polymorph in this dataset (meV/atom): 84.3
Calculated density (Mg/m³): 7.07

***

Record 12
Compound: Li5ZnCu
Source: Alexandria
Functional: PBE
Structure: optimized geometry

The structure in POSCAR format:
```
Li5ZnCu
1.0
3.6270 -3.3005 0.0000
3.6270 3.3005 0.0000
-0.7884 0.0000 9.6541
Li Zn Cu
10 2 2
direct
0.0323 0.3124 0.5908
0.0507 0.3746 0.8791
0.1681 0.8319 0.7500
0.3124 0.0323 0.0908
0.3746 0.0507 0.3791
0.6254 0.9493 0.6209
0.6876 0.9677 0.9092
0.8319 0.1681 0.2500
0.9493 0.6254 0.1209
0.9677 0.6876 0.4092
0.4340 0.5660 0.2500
0.5660 0.4340 0.7500
0.5000 0.5000 0.0000
0.5000 0.5000 0.5000
```

Output
Energy above the most stable polymorph in this dataset (meV/atom): 15.6
Calculated density (Mg/m³): 2.35